Material: Sr2HgBi
Method: DFT, PBE
State: optimized geometry

a b c (Å): 8.2083 8.2083 8.2083
angles (deg): 90.00 90.00 90.00
Space group Fm-3m (No. 225)
Inequivalent atoms, fractional coordinates:
Sr1 0.2500 0.2500 0.2500
Hg1 0.0000 0.0000 0.0000
Bi1 0.0000 0.0000 0.5000

Computed properties:
Its energy above the lowest structure with this stoichiometry is 19 meV per atom. As for the total energy: -41.55 eV for the cell shown. The calculation puts the volume at 34.57 Å³/atom. The value obtained for the size of the total moment is 0.0 μB/cell. The calculated formation energy is -69 kJ/mol of atoms.